! K2CoAuO4 GGA+U relaxed; values from VASP
&SYSTEM
  ibrav = 0, nat = 16, ntyp = 4
/
ATOMIC_SPECIES
K 39.10 K.upf
Au 196.97 Au.upf
O 16.00 O.upf
Co 58.93 Co.upf
ATOMIC_POSITIONS crystal
K 0.574 0.500 0.852
K 0.926 0.500 0.148
K 0.824 0.000 0.352
K 0.176 0.000 0.648
Au 0.750 0.500 0.500
Au 0.000 0.000 0.000
O 0.171 0.190 0.997
O 0.832 0.810 0.997
O 0.579 0.310 0.503
O 0.392 0.690 0.497
O 0.918 0.690 0.503
O 0.111 0.310 0.497
O 0.639 0.190 0.003
O 0.358 0.810 0.003
Co 0.500 0.000 0.000
Co 0.250 0.500 0.500
CELL_PARAMETERS angstrom
5.875 0.000 0.000
2.937 6.814 0.000
2.937 0.000 9.506
! Calculated total energy in eV for the cell shown: -74.49